# 1
A relaxed structure of CoOs3W, computed with PBE.

POSCAR file:
```
CoOs3W
1.0
4.7004 0.0000 0.0000
0.0000 4.7004 0.0000
0.0000 0.0000 4.7004
Co Os W
1 3 1
direct
0.0000 0.0000 0.0000
0.0000 0.5000 0.5000
0.5000 0.0000 0.5000
0.5000 0.5000 0.0000
0.5000 0.5000 0.5000
```

Results
The calculation puts the total energy at -8.222 eV/atom. Its excess energy over the best structure of this formula in the dataset is 0.700 eV/atom.

=====

# 2
A relaxed structure of Na3PmDy2Te6, computed with PBE.

POSCAR file:
```
Na3PmDy2Te6
1.0
3.8612 -6.6893 0.0000
3.8612 6.6893 0.0000
-2.5759 0.0000 7.5676
Na Pm Dy Te
3 1 2 6
direct
0.0000 0.0000 0.0000
0.3351 0.6649 0.0000
0.6649 0.3351 0.0000
0.5000 0.5000 0.5000
0.1670 0.8330 0.5000
0.8330 0.1670 0.5000
0.0827 0.4219 0.2661
0.2386 0.2386 0.7338
0.4219 0.0827 0.2661
0.5781 0.9173 0.7339
0.7614 0.7614 0.2662
0.9173 0.5781 0.7339
```

Results
The calculation puts the total energy at -4.384 eV/atom. Its formation energy from raw total energies is -1.320 eV/atom.

=====

# 3
A relaxed structure of Pr2Ge4IrPt3, computed with PBE.

POSCAR file:
```
Pr2Ge4IrPt3
1.0
4.3100 0.0000 0.0000
0.0000 4.3100 0.0000
0.0000 0.0000 10.3652
Pr Ge Ir Pt
2 4 1 3
direct
0.0000 0.5000 0.2481
0.5000 0.0000 0.7519
0.0000 0.0000 0.0000
0.0000 0.5000 0.6319
0.5000 0.0000 0.3681
0.5000 0.5000 0.0000
0.0000 0.0000 0.5000
0.0000 0.5000 0.8711
0.5000 0.0000 0.1289
0.5000 0.5000 0.5000
```

Results
The calculation puts the total energy at -6.391 eV/atom.

=====

# 4
A relaxed structure of CrSiPb, computed with PBE.

POSCAR file:
```
CrSiPb
1.0
3.1626 0.0000 0.0000
-1.5813 2.7389 0.0000
0.0000 0.0000 6.3328
Cr Si Pb
1 1 1
direct
0.0000 0.0000 0.0000
0.3333 0.6667 0.7602
0.6667 0.3333 0.3533
```

Results
The calculation puts the total energy at -5.701 eV/atom. Its formation energy from raw total energies is 0.551 eV/atom. Its excess energy over the best structure of this formula in the dataset is 0.192 eV/atom.

=====

Number 1: spin magnetization 4.20 μB/f.u.. Number 2: spin magnetization 0.00 μB/f.u.. Number 3: spin magnetization 0.00 μB/f.u.. Number 4: spin magnetization 0.00 μB/f.u..